Crystalline Tm3Al3Ni2 at its relaxed geometry. Source: Alexandria, functional PBE-GGA.

Cell: 7.6844 14.7653 5.4853 Å, 90.00 90.00 90.00°
Closest atoms and distances in Å follow each position.
Positions (direct):
Tm  0.0342  0.1111  0.1080  3 Ni 2.88-3.06, 7 Al 3.01-3.21
Tm  0.0342  0.3889  0.1080  3 Ni 2.88-3.06, 7 Al 3.01-3.21
Tm  0.1778  0.2500  0.6243  5 Al 2.92-3.18, 4 Ni 2.97-3.06
Tm  0.3222  0.7500  0.1243  5 Al 2.92-3.18, 4 Ni 2.97-3.06
Tm  0.4658  0.6111  0.6080  3 Ni 2.88-3.06, 7 Al 3.01-3.21
Tm  0.4658  0.8889  0.6080  3 Ni 2.88-3.06, 7 Al 3.01-3.21
Tm  0.5342  0.1111  0.3920  3 Ni 2.88-3.06, 7 Al 3.01-3.21
Tm  0.5342  0.3889  0.3920  3 Ni 2.88-3.06, 7 Al 3.01-3.21
Tm  0.6778  0.2500  0.8757  5 Al 2.92-3.18, 4 Ni 2.97-3.06
Tm  0.8222  0.7500  0.3757  5 Al 2.92-3.18, 4 Ni 2.97-3.06
Tm  0.9658  0.6111  0.8920  3 Ni 2.88-3.06, 7 Al 3.01-3.21
Tm  0.9658  0.8889  0.8920  3 Ni 2.88-3.06, 7 Al 3.01-3.21
Al  0.1701  0.7500  0.6116  2 Ni 2.50
Al  0.1741  0.0346  0.6037  3 Ni 2.46-2.50
Al  0.1741  0.4654  0.6037  3 Ni 2.46-2.50
Al  0.3259  0.5346  0.1037  3 Ni 2.46-2.50
Al  0.3259  0.9654  0.1037  3 Ni 2.46-2.50
Al  0.3299  0.2500  0.1116  2 Ni 2.50
Al  0.6701  0.7500  0.8884  2 Ni 2.50
Al  0.6741  0.0346  0.8963  3 Ni 2.46-2.50
Al  0.6741  0.4654  0.8963  3 Ni 2.46-2.50
Al  0.8259  0.5346  0.3963  3 Ni 2.46-2.50
Al  0.8259  0.9654  0.3963  3 Ni 2.46-2.50
Al  0.8299  0.2500  0.3884  2 Ni 2.50
Ni  0.1128  0.6083  0.3742  4 Al 2.46-2.50
Ni  0.1128  0.8917  0.3742  4 Al 2.46-2.50
Ni  0.3872  0.1083  0.8742  4 Al 2.46-2.50
Ni  0.3872  0.3917  0.8742  4 Al 2.46-2.50
Ni  0.6128  0.6083  0.1258  4 Al 2.46-2.50
Ni  0.6128  0.8917  0.1258  4 Al 2.46-2.50
Ni  0.8872  0.1083  0.6258  4 Al 2.46-2.50
Ni  0.8872  0.3917  0.6258  4 Al 2.46-2.50

As for the symmetry: Pnma (62). Its density is 7525 kg/m3. The energy of formation comes out at -4.14 eV/f.u.